Density functional theory data (GGA-PBE) for an optimized crystal structure of TlGe2Pd8.

CIF file:
```
data_TlGe2Pd8
_chemical_formula_sum 'Tl1 Ge2 Pd8'
_symmetry_space_group_name_H-M 'P 1'
_symmetry_Int_Tables_number 1
_cell_length_a 4.585
_cell_length_b 6.728
_cell_length_c 6.728
_cell_angle_alpha 112.34
_cell_angle_beta 99.52
_cell_angle_gamma 99.52
loop_
_symmetry_equiv_pos_as_xyz
'x,y,z'
loop_
_atom_site_label
_atom_site_type_symbol
_atom_site_fract_x
_atom_site_fract_y
_atom_site_fract_z
_atom_site_occupancy
Pd1 Pd 0.095 0.073 0.325 1
Pd2 Pd 0.500 0.243 0.757 1
Pd3 Pd 0.500 0.757 0.243 1
Pd4 Pd 0.095 0.325 0.073 1
Pd5 Pd 0.317 0.613 0.613 1
Pd6 Pd 0.905 0.675 0.927 1
Pd7 Pd 0.683 0.387 0.387 1
Pd8 Pd 0.905 0.927 0.675 1
Ge1 Ge 0.000 0.681 0.319 1
Ge2 Ge 0.000 0.319 0.681 1
Tl1 Tl 0.500 0.000 0.000 1
```

## Properties
formation energy from the elements	-0.327	eV/atom
density of states at the Fermi level	4.12	states/eV per cell
total magnetization	0.00	μB per formula unit
raw total energy	-56.75	eV/cell